(1)
MnBe4Co5: relaxed, PBE.

Calculated values
DOS(E_F) in states/eV per atom: 1.0036
Spin magnetization in μB per cell: 1.69
Space-group type: P4/mmm, No. 123
Final energy in eV per formula unit: -62.0
Formation enthalpy at 0 K in meV per atom: -240

a = 2.566 Å, b = 2.566 Å, c = 13.743 Å
α = 90.00°, β = 90.00°, γ = 90.00°
Sites, in units of the cell vectors:
Mn 0.000 0.000 0.000
Be 0.000 0.000 0.216
Be 0.000 0.000 0.405
Be 0.000 0.000 0.595
Be 0.000 0.000 0.784
Co 0.500 0.500 0.117
Co 0.500 0.500 0.310
Co 0.500 0.500 0.500
Co 0.500 0.500 0.690
Co 0.500 0.500 0.883

=====

(2)
MnBeCo2: relaxed, PBE.

Calculated values
DOS(E_F) in states/eV per atom: 1.0770
Spin magnetization in μB per cell: 0.37
Space-group type: P4mm, No. 99
Final energy in eV per formula unit: -27.2
Formation enthalpy at 0 K in meV per atom: -33

a = 2.524 Å, b = 2.524 Å, c = 6.202 Å
α = 90.00°, β = 90.00°, γ = 90.00°
Sites, in units of the cell vectors:
Be 0.500 0.500 0.760
Mn 0.000 0.000 0.519
Co 0.000 0.000 0.975
Co 0.500 0.500 0.245

=====

(3)
MnBe2Co: relaxed, PBE.

Calculated values
DOS(E_F) in states/eV per atom: 0.7190
Spin magnetization in μB per cell: 1.02
Space-group type: R-3m, No. 166
Final energy in eV per formula unit: -23.8
Formation enthalpy at 0 K in meV per atom: -12

a = 7.607 Å, b = 7.607 Å, c = 7.607 Å
α = 18.29°, β = 18.29°, γ = 18.29°
Sites, in units of the cell vectors:
Be 0.998 0.998 0.998
Be 0.502 0.502 0.502
Mn 0.750 0.750 0.750
Co 0.250 0.250 0.250

=====

(4)
Mn2Be2Co: relaxed, PBE.

Calculated values
DOS(E_F) in states/eV per atom: 0.8923
Spin magnetization in μB per cell: 2.93
Space-group type: I4/mmm, No. 139
Final energy in eV per formula unit: -31.3
Formation enthalpy at 0 K in meV per atom: 310

a = 3.123 Å, b = 3.123 Å, c = 5.757 Å
α = 74.26°, β = 74.26°, γ = 90.00°
Sites, in units of the cell vectors:
Be 0.408 0.408 0.185
Be 0.592 0.592 0.815
Mn 0.750 0.250 0.500
Mn 0.250 0.750 0.500
Co 0.000 0.000 0.000

=====

(5)
MnBeCo2: relaxed, PBE.

Calculated values
DOS(E_F) in states/eV per atom: 1.8849
Spin magnetization in μB per cell: 0.00
Space-group type: I-42d, No. 122
Final energy in eV per formula unit: -25.0
Formation enthalpy at 0 K in meV per atom: 536

a = 5.917 Å, b = 5.917 Å, c = 4.819 Å
α = 52.13°, β = 52.13°, γ = 90.00°
Sites, in units of the cell vectors:
Be 0.500 0.500 0.000
Be 0.250 0.750 0.500
Mn 0.000 0.000 0.000
Mn 0.750 0.250 0.500
Co 0.604 0.125 0.250
Co 0.146 0.625 0.250
Co 0.375 0.396 0.750
Co 0.875 0.854 0.750

=====

(6)
MnBe2Co3: relaxed, PBE.

Calculated values
DOS(E_F) in states/eV per atom: 1.1376
Spin magnetization in μB per cell: 0.84
Space-group type: P4/mmm, No. 123
Final energy in eV per formula unit: -39.1
Formation enthalpy at 0 K in meV per atom: -193

a = 2.548 Å, b = 2.548 Å, c = 8.568 Å
α = 90.00°, β = 90.00°, γ = 90.00°
Sites, in units of the cell vectors:
Mn 0.500 0.500 0.500
Be 0.500 0.500 0.849
Be 0.500 0.500 0.151
Co 0.000 0.000 0.000
Co 0.000 0.000 0.689
Co 0.000 0.000 0.311

=====

(7)
MnBe17Co: relaxed, PBE.

Calculated values
DOS(E_F) in states/eV per atom: 0.2077
Spin magnetization in μB per cell: 2.00
Space-group type: R3m, No. 160
Final energy in eV per formula unit: -81.2
Formation enthalpy at 0 K in meV per atom: -84

a = 5.426 Å, b = 5.426 Å, c = 5.426 Å
α = 82.07°, β = 82.07°, γ = 82.07°
Sites, in units of the cell vectors:
Mn 0.668 0.668 0.668
Be 0.308 0.003 0.689
Be 0.689 0.308 0.003
Be 0.003 0.689 0.308
Be 0.308 0.689 0.003
Be 0.003 0.308 0.689
Be 0.689 0.003 0.308
Be 0.347 0.849 0.347
Be 0.347 0.347 0.849
Be 0.849 0.347 0.347
Be 0.650 0.169 0.650
Be 0.650 0.650 0.169
Be 0.169 0.650 0.650
Be 0.995 0.504 0.995
Be 0.995 0.995 0.504
Be 0.504 0.995 0.995
Be 0.900 0.900 0.900
Be 0.101 0.101 0.101
Co 0.324 0.324 0.324

=====

(8)
MnBeCo3: relaxed, PBE.

Calculated values
DOS(E_F) in states/eV per atom: 1.3719
Spin magnetization in μB per cell: 0.82
Space-group type: Pm-3m, No. 221
Final energy in eV per formula unit: -27.4
Offset from the most stable computed form in meV per atom: 911
Formation enthalpy at 0 K in meV per atom: 1357

a = 4.105 Å, b = 4.105 Å, c = 4.105 Å
α = 90.00°, β = 90.00°, γ = 90.00°
Sites, in units of the cell vectors:
Be 0.500 0.500 0.500
Mn 0.000 0.000 0.000
Co 0.000 0.500 0.000
Co 0.000 0.000 0.500
Co 0.500 0.000 0.000

=====

(9)
MnBe3Co2: relaxed, PBE.

Calculated values
DOS(E_F) in states/eV per atom: 0.8738
Spin magnetization in μB per cell: 3.24
Space-group type: P4/mmm, No. 123
Final energy in eV per formula unit: -36.0
Formation enthalpy at 0 K in meV per atom: -244

a = 2.646 Å, b = 2.646 Å, c = 7.833 Å
α = 90.00°, β = 90.00°, γ = 90.00°
Sites, in units of the cell vectors:
Mn 0.500 0.500 0.500
Be 0.000 0.000 0.000
Be 0.000 0.000 0.687
Be 0.000 0.000 0.313
Co 0.500 0.500 0.834
Co 0.500 0.500 0.166

=====

(10)
MnBeCoMo: relaxed, PBE.

Calculated values
DOS(E_F) in states/eV per atom: 0.2233
Spin magnetization in μB per cell: 0.00
Space-group type: F-43m, No. 216
Final energy in eV per formula unit: -30.9
Formation enthalpy at 0 K in meV per atom: -25

a = 4.013 Å, b = 4.013 Å, c = 4.013 Å
α = 60.00°, β = 60.00°, γ = 60.00°
Sites, in units of the cell vectors:
Be 0.000 0.000 0.000
Mo 0.500 0.500 0.500
Mn 0.250 0.250 0.250
Co 0.750 0.750 0.750

=====

(11)
NaMn2BeCo: relaxed, PBE.

Calculated values
DOS(E_F) in states/eV per atom: 0.4437
Spin magnetization in μB per cell: 8.66
Space-group type: P4/mmm, No. 123
Final energy in eV per formula unit: -27.1
Formation enthalpy at 0 K in meV per atom: 678

a = 4.571 Å, b = 4.200 Å, c = 4.571 Å
α = 90.00°, β = 90.00°, γ = 90.00°
Sites, in units of the cell vectors:
Na 0.500 0.500 0.500
Mn 0.000 0.000 0.500
Mn 0.500 0.000 0.000
Co 0.000 0.000 0.000
Be 0.000 0.500 0.000

=====

(12)
Mn2BeNb2Co5: relaxed, PBE.

Calculated values
DOS(E_F) in states/eV per atom: 1.2833
Spin magnetization in μB per cell: 6.61
Space-group type: P4/mbm, No. 127
Final energy in eV per formula unit: -76.9
Formation enthalpy at 0 K in meV per atom: 83

a = 3.568 Å, b = 8.296 Å, c = 8.296 Å
α = 90.00°, β = 90.00°, γ = 90.00°
Sites, in units of the cell vectors:
Mn 0.000 0.128 0.628
Mn 0.000 0.872 0.372
Mn 0.000 0.628 0.872
Mn 0.000 0.372 0.128
Be 0.000 0.000 0.000
Be 0.000 0.500 0.500
Nb 0.000 0.673 0.173
Nb 0.000 0.327 0.827
Nb 0.000 0.173 0.327
Nb 0.000 0.827 0.673
Co 0.500 0.198 0.063
Co 0.500 0.802 0.937
Co 0.500 0.063 0.802
Co 0.500 0.698 0.437
Co 0.500 0.937 0.198
Co 0.500 0.302 0.563
Co 0.500 0.563 0.698
Co 0.500 0.437 0.302
Co 0.500 0.500 0.000
Co 0.500 0.000 0.500

=====

> The lowest final energy belongs to which entry?

MnBe17Co